Cr3Mo: optimized geometry, PBE.

a b c (Å): 4.3686 4.8031 4.9800
angles (deg): 90.00 90.00 90.00
With the nearest neighbours (Å) after each atom.
Atoms (fractional coordinates):
Mo 0.0000 0.0000 0.3770  4 Cr 2.41-2.62
Cr 0.5000 0.7711 0.1359  1 Cr 2.20
Mo 0.5000 0.5000 0.6230  4 Cr 2.41-2.62
Cr 0.5000 0.0000 0.6668  4 Mo 2.41-2.62, 2 Cr 2.58
Cr 0.0000 0.7289 0.8641  1 Cr 2.20
Cr 0.0000 0.2711 0.8641  1 Cr 2.20
Cr 0.5000 0.2289 0.1359  1 Cr 2.20
Cr 0.0000 0.5000 0.3332  4 Mo 2.41-2.62, 2 Cr 2.58

## Properties
- energy of formation from the pure elements (eV per atom) = 0.34
- M_tot (Bohr magnetons per cell) = 1.53